Entry from Alexandria: a geometry-optimized CaTi2Pt2 structure (GGA-PBE).

Space group   I4/mmm, No. 139
Relative energy among the computed polymorphs   0.000 eV per atom
Magnetic moment   0.0 μB per formula unit

```
data_CaTi2Pt2
_chemical_formula_sum 'Ca1 Ti2 Pt2'
_cell_length_a 4.381
_cell_length_b 4.381
_cell_length_c 6.146
_cell_angle_alpha 69.12
_cell_angle_beta 69.12
_cell_angle_gamma 90.00
_symmetry_space_group_name_H-M 'P 1'
_symmetry_Int_Tables_number 1
loop_
_symmetry_equiv_pos_as_xyz
'x,y,z'
loop_
_atom_site_label
_atom_site_type_symbol
_atom_site_fract_x
_atom_site_fract_y
_atom_site_fract_z
Pt1 Pt 0.375 0.375 0.250
Pt2 Pt 0.625 0.625 0.750
Ca1 Ca 0.000 0.000 0.000
Ti1 Ti 0.250 0.750 0.500
Ti2 Ti 0.750 0.250 0.500
```